Record 1
## TiCuIN2 (PBE)

Data for TiCuIN2 after structural relaxation.

## Properties
- excess energy over the best structure of this formula in the dataset (meV/atom) = 1077
- DFT total energy (eV per atom) = -4.54
- ΔE_f (raw) (eV per atom) = 1.50

Cell lengths 3.894, 3.894, 5.138 Å; angles 90.00, 90.00, 90.00 degrees
Space group P4/mmm (No. 123)
One atom of each set of equivalent atoms:
Ti 0.000 0.000 0.000 x1
Cu 0.500 0.500 0.500 x1
I 0.500 0.500 0.000 x1
N 0.000 0.500 0.500 x2


Record 2
## TlCuIN2 (PBE)

Data for TlCuIN2 after structural relaxation.

## Properties
- excess energy over the best structure of this formula in the dataset (meV/atom) = 330
- DFT total energy (eV per atom) = -3.12
- ΔE_f (raw) (eV per atom) = 1.81

Cell lengths 4.188, 4.188, 7.500 Å; angles 90.00, 90.00, 90.00 degrees
Space group P4/mmm (No. 123)
One atom of each set of equivalent atoms:
Tl 0.000 0.000 0.000 x1
Cu 0.500 0.500 0.500 x1
I 0.000 0.000 0.500 x1
N 0.000 0.500 0.000 x2